First-principles (PBE) data for a relaxed RbHfS2Cl crystal, as listed in Alexandria.

Structure (CIF):
```
data_RbHfS2Cl
_cell_length_a 5.391
_cell_length_b 5.391
_cell_length_c 5.331
_cell_angle_alpha 90.00
_cell_angle_beta 90.00
_cell_angle_gamma 90.00
_space_group_name_H-M_alt 'P 4/m m m'
_space_group_IT_number 123
_space_group_name_Hall '-P 4 2'
loop_
_atom_site_label
_atom_site_fract_x
_atom_site_fract_y
_atom_site_fract_z
_atom_site_occupancy
Rb1 0.000 0.000 0.000 1
Hf1 0.500 0.500 0.500 1
S1 0.000 0.500 0.000 1
Cl1 0.000 0.000 0.500 1
```

Properties
The volume comes out at 155 Å³ per cell. For the uncorrected formation energy, the calculation gives 1.04 eV/atom. Its distance to the lowest polymorph of the same formula is 2569 meV per atom. The calculation puts the mass density at 3.90 g/cm³. The value obtained for the total DFT energy (no corrections) is -0.232 Ry/atom.